Entry 1
VASP calculation (GGA-PBE) on a geometry-optimized SrTl4Pd4 structure.

The calculation puts the density of states at the Fermi level at 0.579 states/eV/atom.

CIF file:
```
data_SrTl4Pd4
_cell_length_a 6.458
_cell_length_b 6.458
_cell_length_c 9.968
_cell_angle_alpha 90.00
_cell_angle_beta 90.00
_cell_angle_gamma 90.00
_symmetry_space_group_name_H-M 'P 1'
_symmetry_Int_Tables_number 1
loop_
_symmetry_equiv_pos_as_xyz
'x,y,z'
loop_
_atom_site_label
_atom_site_fract_x
_atom_site_fract_y
_atom_site_fract_z
_atom_site_occupancy
Sr1 0.000 0.000 0.000 1
Sr2 0.500 0.500 0.500 1
Tl1 0.500 0.770 0.800 1
Tl2 0.500 0.230 0.800 1
Tl3 0.770 0.500 0.200 1
Tl4 0.230 0.500 0.200 1
Tl5 0.270 0.000 0.300 1
Tl6 0.730 0.000 0.300 1
Tl7 0.000 0.270 0.700 1
Tl8 0.000 0.730 0.700 1
Pd1 0.212 0.500 0.920 1
Pd2 0.788 0.500 0.920 1
Pd3 0.500 0.788 0.080 1
Pd4 0.500 0.212 0.080 1
Pd5 0.000 0.712 0.420 1
Pd6 0.000 0.288 0.420 1
Pd7 0.288 0.000 0.580 1
Pd8 0.712 0.000 0.580 1
```

Entry 2
VASP calculation (GGA-PBE) on a geometry-optimized SrTl4Pd4 structure.

The calculation puts the density of states at the Fermi level at 0.493 states/eV/atom.

CIF file:
```
data_SrTl4Pd4
_cell_length_a 5.567
_cell_length_b 9.161
_cell_length_c 9.161
_cell_angle_alpha 90.00
_cell_angle_beta 90.00
_cell_angle_gamma 90.00
_symmetry_space_group_name_H-M 'P 1'
_symmetry_Int_Tables_number 1
loop_
_symmetry_equiv_pos_as_xyz
'x,y,z'
loop_
_atom_site_label
_atom_site_fract_x
_atom_site_fract_y
_atom_site_fract_z
_atom_site_occupancy
Sr1 0.000 0.000 0.000 1
Sr2 0.500 0.500 0.500 1
Tl1 0.405 0.349 0.882 1
Tl2 0.905 0.618 0.849 1
Tl3 0.405 0.651 0.118 1
Tl4 0.095 0.151 0.618 1
Tl5 0.595 0.882 0.651 1
Tl6 0.095 0.849 0.382 1
Tl7 0.905 0.382 0.151 1
Tl8 0.595 0.118 0.349 1
Pd1 0.594 0.814 0.348 1
Pd2 0.594 0.186 0.652 1
Pd3 0.094 0.848 0.686 1
Pd4 0.906 0.314 0.848 1
Pd5 0.906 0.686 0.152 1
Pd6 0.406 0.348 0.186 1
Pd7 0.406 0.652 0.814 1
Pd8 0.094 0.152 0.314 1
```

The relative energies come out as entry 1 0; entry 2 31, with values in meV/atom.

Entry 1
VASP calculation (GGA-PBE) on a geometry-optimized SrV2Pd structure.

The calculation puts the density of states at the Fermi level at 1.264 states/eV/atom.

CIF file:
```
data_SrV2Pd
_cell_length_a 4.321
_cell_length_b 4.321
_cell_length_c 10.374
_cell_angle_alpha 77.98
_cell_angle_beta 77.98
_cell_angle_gamma 90.00
_symmetry_space_group_name_H-M 'P 1'
_symmetry_Int_Tables_number 1
loop_
_symmetry_equiv_pos_as_xyz
'x,y,z'
loop_
_atom_site_label
_atom_site_fract_x
_atom_site_fract_y
_atom_site_fract_z
_atom_site_occupancy
Sr1 0.500 0.500 0.000 1
Sr2 0.250 0.750 0.500 1
Pd1 0.000 0.000 0.000 1
Pd2 0.750 0.250 0.500 1
V1 0.894 0.125 0.250 1
V2 0.856 0.625 0.250 1
V3 0.375 0.106 0.750 1
V4 0.875 0.144 0.750 1
```

Entry 2
VASP calculation (GGA-PBE) on a geometry-optimized SrV2Pd structure.

The calculation puts the density of states at the Fermi level at 2.187 states/eV/atom.

CIF file:
```
data_SrV2Pd
_cell_length_a 4.838
_cell_length_b 4.838
_cell_length_c 4.838
_cell_angle_alpha 60.00
_cell_angle_beta 60.00
_cell_angle_gamma 60.00
_symmetry_space_group_name_H-M 'P 1'
_symmetry_Int_Tables_number 1
loop_
_symmetry_equiv_pos_as_xyz
'x,y,z'
loop_
_atom_site_label
_atom_site_fract_x
_atom_site_fract_y
_atom_site_fract_z
_atom_site_occupancy
Sr1 0.000 0.000 0.000 1
Pd1 0.500 0.500 0.500 1
V1 0.250 0.250 0.250 1
V2 0.750 0.750 0.750 1
```

The relative energies come out as entry 1 0; entry 2 147, with values in meV/atom.

Entry 1
VASP calculation (GGA-PBE) on a geometry-optimized SrVPd2 structure.

The calculation puts the density of states at the Fermi level at 1.126 states/eV/atom.

CIF file:
```
data_SrVPd2
_cell_length_a 4.851
_cell_length_b 4.851
_cell_length_c 4.851
_cell_angle_alpha 60.00
_cell_angle_beta 60.00
_cell_angle_gamma 60.00
_symmetry_space_group_name_H-M 'P 1'
_symmetry_Int_Tables_number 1
loop_
_symmetry_equiv_pos_as_xyz
'x,y,z'
loop_
_atom_site_label
_atom_site_fract_x
_atom_site_fract_y
_atom_site_fract_z
_atom_site_occupancy
Sr1 0.500 0.500 0.500 1
Pd1 0.250 0.250 0.250 1
Pd2 0.750 0.750 0.750 1
V1 0.000 0.000 0.000 1
```

Entry 2
VASP calculation (GGA-PBE) on a geometry-optimized SrVPd2 structure.

The calculation puts the density of states at the Fermi level at 0.969 states/eV/atom.

CIF file:
```
data_SrVPd2
_cell_length_a 5.167
_cell_length_b 5.167
_cell_length_c 8.940
_cell_angle_alpha 73.20
_cell_angle_beta 73.20
_cell_angle_gamma 90.00
_symmetry_space_group_name_H-M 'P 1'
_symmetry_Int_Tables_number 1
loop_
_symmetry_equiv_pos_as_xyz
'x,y,z'
loop_
_atom_site_label
_atom_site_fract_x
_atom_site_fract_y
_atom_site_fract_z
_atom_site_occupancy
Sr1 0.000 0.000 0.000 1
Sr2 0.750 0.250 0.500 1
Pd1 0.423 0.125 0.250 1
Pd2 0.327 0.625 0.250 1
Pd3 0.375 0.577 0.750 1
Pd4 0.875 0.673 0.750 1
V1 0.500 0.500 0.000 1
V2 0.250 0.750 0.500 1
```

Entry 3
VASP calculation (GGA-PBE) on a geometry-optimized SrVPd2 structure.

The calculation puts the density of states at the Fermi level at 1.315 states/eV/atom.

CIF file:
```
data_SrVPd2
_cell_length_a 3.275
_cell_length_b 3.275
_cell_length_c 9.492
_cell_angle_alpha 80.07
_cell_angle_beta 80.07
_cell_angle_gamma 60.00
_symmetry_space_group_name_H-M 'P 1'
_symmetry_Int_Tables_number 1
loop_
_symmetry_equiv_pos_as_xyz
'x,y,z'
loop_
_atom_site_label
_atom_site_fract_x
_atom_site_fract_y
_atom_site_fract_z
_atom_site_occupancy
Sr1 0.000 0.000 0.000 1
Pd1 0.107 0.107 0.679 1
Pd2 0.893 0.893 0.321 1
V1 0.500 0.500 0.500 1
```

The relative energies come out as entry 1 0; entry 2 134; entry 3 334, with values in meV/atom.

Entry 1
VASP calculation (GGA-PBE) on a geometry-optimized SrPdW3 structure.

The calculation puts the density of states at the Fermi level at 1.842 states/eV/atom.

CIF file:
```
data_SrPdW3
_cell_length_a 4.721
_cell_length_b 4.721
_cell_length_c 4.721
_cell_angle_alpha 90.00
_cell_angle_beta 90.00
_cell_angle_gamma 90.00
_symmetry_space_group_name_H-M 'P 1'
_symmetry_Int_Tables_number 1
loop_
_symmetry_equiv_pos_as_xyz
'x,y,z'
loop_
_atom_site_label
_atom_site_fract_x
_atom_site_fract_y
_atom_site_fract_z
_atom_site_occupancy
Sr1 0.000 0.000 0.000 1
Pd1 0.500 0.500 0.500 1
W1 0.000 0.500 0.000 1
W2 0.000 0.000 0.500 1
W3 0.500 0.000 0.000 1
```

Entry 2
VASP calculation (GGA-PBE) on a geometry-optimized SrPdW3 structure.

The calculation puts the density of states at the Fermi level at 1.243 states/eV/atom.

CIF file:
```
data_SrPdW3
_cell_length_a 4.894
_cell_length_b 4.894
_cell_length_c 4.894
_cell_angle_alpha 90.00
_cell_angle_beta 90.00
_cell_angle_gamma 90.00
_symmetry_space_group_name_H-M 'P 1'
_symmetry_Int_Tables_number 1
loop_
_symmetry_equiv_pos_as_xyz
'x,y,z'
loop_
_atom_site_label
_atom_site_fract_x
_atom_site_fract_y
_atom_site_fract_z
_atom_site_occupancy
Sr1 0.500 0.500 0.500 1
Pd1 0.000 0.000 0.000 1
W1 0.000 0.500 0.000 1
W2 0.000 0.000 0.500 1
W3 0.500 0.000 0.000 1
```

The relative energies come out as entry 1 1544; entry 2 0, with values in meV/atom.